[1]
# BaSn4Hg (PBE-GGA, relaxed)
data_BaSn4Hg
_cell_length_a 6.629
_cell_length_b 6.694
_cell_length_c 9.044
_cell_angle_alpha 87.42
_cell_angle_beta 87.19
_cell_angle_gamma 73.93
_symmetry_space_group_name_H-M 'P 1'
_symmetry_Int_Tables_number 1
loop_
_symmetry_equiv_pos_as_xyz
'x,y,z'
loop_
_atom_site_label
_atom_site_fract_x
_atom_site_fract_y
_atom_site_fract_z
_atom_site_occupancy
Ba1 0.206 0.196 0.043 1
Ba2 0.794 0.804 0.957 1
Sn1 0.084 0.467 0.659 1
Sn2 0.304 0.684 0.212 1
Sn3 0.332 0.674 0.862 1
Sn4 0.384 0.035 0.650 1
Sn5 0.616 0.965 0.350 1
Sn6 0.668 0.326 0.138 1
Sn7 0.696 0.316 0.788 1
Sn8 0.916 0.533 0.341 1
Hg1 0.000 0.000 0.500 1
Hg2 0.500 0.500 0.500 1
# ρ in g/cm³: 7.0
# ΔH_f (0 K) in eV/atom: -0.219
# SG: P-1, No. 2

---

[2]
# BaSnHg2 (PBE-GGA, relaxed)
data_BaSnHg2
_cell_length_a 3.622
_cell_length_b 6.114
_cell_length_c 12.948
_cell_angle_alpha 90.00
_cell_angle_beta 90.00
_cell_angle_gamma 90.00
_symmetry_space_group_name_H-M 'P 1'
_symmetry_Int_Tables_number 1
loop_
_symmetry_equiv_pos_as_xyz
'x,y,z'
loop_
_atom_site_label
_atom_site_fract_x
_atom_site_fract_y
_atom_site_fract_z
_atom_site_occupancy
Ba1 0.000 0.000 0.000 1
Ba2 0.500 0.500 0.500 1
Sn1 0.000 0.000 0.500 1
Sn2 0.500 0.500 0.000 1
Hg1 0.000 0.000 0.270 1
Hg2 0.000 0.000 0.730 1
Hg3 0.500 0.500 0.230 1
Hg4 0.500 0.500 0.770 1
# ρ in g/cm³: 7.6
# ΔH_f (0 K) in eV/atom: -0.160
# SG: Immm, No. 71

---

[3]
# Ba3Sn5Hg6 (PBE-GGA, relaxed)
data_Ba3Sn5Hg6
_cell_length_a 5.042
_cell_length_b 14.933
_cell_length_c 11.194
_cell_angle_alpha 90.00
_cell_angle_beta 90.00
_cell_angle_gamma 90.00
_symmetry_space_group_name_H-M 'P 1'
_symmetry_Int_Tables_number 1
loop_
_symmetry_equiv_pos_as_xyz
'x,y,z'
loop_
_atom_site_label
_atom_site_fract_x
_atom_site_fract_y
_atom_site_fract_z
_atom_site_occupancy
Ba1 0.250 0.064 0.244 1
Ba2 0.250 0.436 0.244 1
Ba3 0.250 0.750 0.243 1
Ba4 0.750 0.250 0.757 1
Ba5 0.750 0.564 0.756 1
Ba6 0.750 0.936 0.756 1
Sn1 0.250 0.093 0.875 1
Sn2 0.250 0.407 0.875 1
Sn3 0.250 0.614 0.526 1
Sn4 0.250 0.750 0.781 1
Sn5 0.250 0.886 0.526 1
Sn6 0.750 0.114 0.474 1
Sn7 0.750 0.250 0.219 1
Sn8 0.750 0.386 0.474 1
Sn9 0.750 0.593 0.125 1
Sn10 0.750 0.907 0.125 1
Hg1 0.250 0.078 0.614 1
Hg2 0.250 0.250 0.043 1
Hg3 0.250 0.250 0.440 1
Hg4 0.250 0.422 0.614 1
Hg5 0.250 0.594 0.980 1
Hg6 0.250 0.906 0.980 1
Hg7 0.750 0.094 0.020 1
Hg8 0.750 0.406 0.020 1
Hg9 0.750 0.578 0.386 1
Hg10 0.750 0.750 0.560 1
Hg11 0.750 0.750 0.957 1
Hg12 0.750 0.922 0.386 1
# ρ in g/cm³: 8.7
# ΔH_f (0 K) in eV/atom: -0.404
# SG: Pmmn, No. 59

---

[4]
# Ba2Sn2Hg (PBE-GGA, relaxed)
data_Ba2Sn2Hg
_cell_length_a 6.867
_cell_length_b 6.867
_cell_length_c 8.942
_cell_angle_alpha 90.00
_cell_angle_beta 90.00
_cell_angle_gamma 90.00
_symmetry_space_group_name_H-M 'P 1'
_symmetry_Int_Tables_number 1
loop_
_symmetry_equiv_pos_as_xyz
'x,y,z'
loop_
_atom_site_label
_atom_site_fract_x
_atom_site_fract_y
_atom_site_fract_z
_atom_site_occupancy
Ba1 0.000 0.500 0.250 1
Ba2 0.000 0.500 0.750 1
Ba3 0.500 0.000 0.250 1
Ba4 0.500 0.000 0.750 1
Sn1 0.000 0.000 0.161 1
Sn2 0.000 0.000 0.839 1
Sn3 0.500 0.500 0.339 1
Sn4 0.500 0.500 0.661 1
Hg1 0.000 0.000 0.500 1
Hg2 0.500 0.500 0.000 1
# ρ in g/cm³: 5.6
# ΔH_f (0 K) in eV/atom: -0.288
# SG: I4/mmm, No. 139

---

[5]
# Ba2Sn5Hg4 (PBE-GGA, relaxed)
data_Ba2Sn5Hg4
_cell_length_a 10.669
_cell_length_b 9.635
_cell_length_c 6.629
_cell_angle_alpha 79.64
_cell_angle_beta 62.68
_cell_angle_gamma 37.68
_symmetry_space_group_name_H-M 'P 1'
_symmetry_Int_Tables_number 1
loop_
_symmetry_equiv_pos_as_xyz
'x,y,z'
loop_
_atom_site_label
_atom_site_fract_x
_atom_site_fract_y
_atom_site_fract_z
_atom_site_occupancy
Ba1 0.130 0.130 0.870 1
Ba2 0.870 0.870 0.130 1
Sn1 0.000 0.000 0.500 1
Sn2 0.250 0.250 0.250 1
Sn3 0.500 0.500 0.000 1
Sn4 0.500 0.500 0.500 1
Sn5 0.750 0.750 0.750 1
Hg1 0.223 0.491 0.509 1
Hg2 0.491 0.223 0.777 1
Hg3 0.509 0.777 0.223 1
Hg4 0.777 0.509 0.491 1
# ρ in g/cm³: 8.0
# ΔH_f (0 K) in eV/atom: -0.268
# SG: Fmmm, No. 69

---

[6]
# Ba2Sn2Hg (PBE-GGA, relaxed)
data_Ba2Sn2Hg
_cell_length_a 6.687
_cell_length_b 6.687
_cell_length_c 12.501
_cell_angle_alpha 116.62
_cell_angle_beta 116.62
_cell_angle_gamma 46.94
_symmetry_space_group_name_H-M 'P 1'
_symmetry_Int_Tables_number 1
loop_
_symmetry_equiv_pos_as_xyz
'x,y,z'
loop_
_atom_site_label
_atom_site_fract_x
_atom_site_fract_y
_atom_site_fract_z
_atom_site_occupancy
Ba1 0.020 0.020 0.333 1
Ba2 0.186 0.186 0.108 1
Ba3 0.814 0.814 0.892 1
Ba4 0.980 0.980 0.667 1
Sn1 0.361 0.361 0.450 1
Sn2 0.481 0.481 0.111 1
Sn3 0.519 0.519 0.889 1
Sn4 0.639 0.639 0.550 1
Hg1 0.274 0.274 0.656 1
Hg2 0.726 0.726 0.344 1
# ρ in g/cm³: 6.6
# ΔH_f (0 K) in eV/atom: -0.617
# SG: C2/m, No. 12

---

[7]
# BaSn3Hg (PBE-GGA, relaxed)
data_BaSn3Hg
_cell_length_a 6.342
_cell_length_b 6.342
_cell_length_c 6.342
_cell_angle_alpha 90.00
_cell_angle_beta 90.00
_cell_angle_gamma 90.00
_symmetry_space_group_name_H-M 'P 1'
_symmetry_Int_Tables_number 1
loop_
_symmetry_equiv_pos_as_xyz
'x,y,z'
loop_
_atom_site_label
_atom_site_fract_x
_atom_site_fract_y
_atom_site_fract_z
_atom_site_occupancy
Ba1 0.000 0.000 0.000 1
Sn1 0.000 0.000 0.500 1
Sn2 0.000 0.500 0.000 1
Sn3 0.500 0.000 0.000 1
Hg1 0.500 0.500 0.500 1
# ρ in g/cm³: 4.5
# ΔH_f (0 K) in eV/atom: 0.885
# SG: Pm-3m, No. 221

---

[8]
# BaSr2Sn2Hg2 (PBE-GGA, relaxed)
data_BaSr2Sn2Hg2
_cell_length_a 10.411
_cell_length_b 10.411
_cell_length_c 10.411
_cell_angle_alpha 29.16
_cell_angle_beta 29.16
_cell_angle_gamma 29.16
_symmetry_space_group_name_H-M 'P 1'
_symmetry_Int_Tables_number 1
loop_
_symmetry_equiv_pos_as_xyz
'x,y,z'
loop_
_atom_site_label
_atom_site_fract_x
_atom_site_fract_y
_atom_site_fract_z
_atom_site_occupancy
Ba1 0.000 0.000 0.000 1
Sr1 0.135 0.135 0.135 1
Sr2 0.865 0.865 0.865 1
Sn1 0.258 0.258 0.258 1
Sn2 0.742 0.742 0.742 1
Hg1 0.435 0.435 0.435 1
Hg2 0.565 0.565 0.565 1
# ρ in g/cm³: 6.7
# ΔH_f (0 K) in eV/atom: -0.489
# SG: R-3m, No. 166